No. 1
Here is a geometry-optimized Tb12ZnNi6 structure from the Alexandria database. Energies are from PBE.

Computed properties:
**SG**: R-3 (148)
**D(E_F)**: 20.1 states/eV/cell
**E_tot**: -0.3635 Ry per atom

a b c (Å): 8.229 8.229 8.229
angles (deg): 103.82 103.82 103.82
Atoms (fractional coordinates):
Tb1 0.670 0.922 0.074
Tb2 0.922 0.074 0.670
Tb3 0.593 0.447 0.831
Tb4 0.407 0.553 0.169
Tb5 0.926 0.330 0.078
Tb6 0.074 0.670 0.922
Tb7 0.330 0.078 0.926
Tb8 0.553 0.169 0.407
Tb9 0.169 0.407 0.553
Tb10 0.078 0.926 0.330
Tb11 0.447 0.831 0.593
Tb12 0.831 0.593 0.447
Ni1 0.146 0.617 0.318
Ni2 0.617 0.318 0.146
Ni3 0.682 0.854 0.383
Ni4 0.318 0.146 0.617
Ni5 0.854 0.383 0.682
Ni6 0.383 0.682 0.854
Zn1 0.000 0.000 0.000

=====

No. 2
Here is a geometry-optimized Tb3Zn8Ni3 structure from the Alexandria database. Energies are from PBE.

Computed properties:
**SG**: Immm (71)
**D(E_F)**: 9.0 states/eV/cell
**E_tot**: -0.2431 Ry per atom

a b c (Å): 4.193 8.006 8.006
angles (deg): 70.39 74.82 74.82
Atoms (fractional coordinates):
Zn1 0.384 0.334 0.899
Zn2 0.384 0.899 0.334
Zn3 0.616 0.666 0.101
Zn4 0.829 0.530 0.812
Zn5 0.829 0.812 0.530
Zn6 0.171 0.470 0.188
Zn7 0.171 0.188 0.470
Zn8 0.616 0.101 0.666
Tb1 0.175 0.825 0.825
Tb2 0.500 0.500 0.500
Tb3 0.825 0.175 0.175
Ni1 0.000 0.788 0.212
Ni2 0.500 0.000 0.000
Ni3 0.000 0.212 0.788

=====

No. 3
Here is a geometry-optimized TbZn2Ni9 structure from the Alexandria database. Energies are from PBE.

Computed properties:
**SG**: R-3m (166)
**D(E_F)**: 14.3 states/eV/cell
**E_tot**: -0.3757 Ry per atom

a b c (Å): 4.817 4.817 8.230
angles (deg): 72.98 72.98 60.00
Last column: magnetic moment on the atom in μB.
Atoms (fractional coordinates):
Tb1 0.000 0.000 0.000  -0.06
Zn1 0.145 0.145 0.566  -0.01
Zn2 0.855 0.855 0.434  -0.01
Ni1 0.081 0.588 0.742  0.38
Ni2 0.500 0.500 0.500  0.28
Ni3 0.588 0.588 0.742  0.38
Ni4 0.666 0.666 0.002  0.34
Ni5 0.412 0.412 0.258  0.38
Ni6 0.412 0.919 0.258  0.38
Ni7 0.334 0.334 0.998  0.34
Ni8 0.588 0.081 0.742  0.38
Ni9 0.919 0.412 0.258  0.38

=====

No. 4
Here is a geometry-optimized TbZn2Ni8 structure from the Alexandria database. Energies are from PBE.

Computed properties:
**SG**: P4/mmm (123)
**D(E_F)**: 16.6 states/eV/cell
**E_tot**: -0.3328 Ry per atom

a b c (Å): 4.644 4.644 8.309
angles (deg): 90.00 90.00 90.00
Last column: magnetic moment on the atom in μB.
Atoms (fractional coordinates):
Ni1 0.248 0.248 0.229  0.23
Ni2 0.752 0.248 0.771  0.23
Ni3 0.248 0.752 0.771  0.23
Ni4 0.752 0.752 0.771  0.23
Ni5 0.248 0.248 0.771  0.23
Ni6 0.248 0.752 0.229  0.23
Ni7 0.752 0.248 0.229  0.23
Ni8 0.752 0.752 0.229  0.23
Zn1 0.000 0.500 0.000  -0.01
Zn2 0.500 0.000 0.000  -0.01
Tb1 0.500 0.500 0.500  -0.05

=====

No. 5
Here is a geometry-optimized Tb2Zn2Ni15 structure from the Alexandria database. Energies are from PBE.

Computed properties:
**SG**: R-3m (166)
**D(E_F)**: 23.8 states/eV/cell
**E_tot**: -0.3988 Ry per atom

a b c (Å): 6.300 6.300 6.300
angles (deg): 82.75 82.75 82.75
Last column: magnetic moment on the atom in μB.
Atoms (fractional coordinates):
Zn1 0.100 0.100 0.100  -0.02
Zn2 0.900 0.900 0.900  -0.02
Ni1 0.298 0.702 0.000  0.28
Ni2 0.298 0.000 0.702  0.28
Ni3 0.702 0.000 0.298  0.28
Ni4 0.702 0.298 0.000  0.28
Ni5 0.655 0.655 0.155  0.28
Ni6 0.500 0.000 0.000  0.30
Ni7 0.845 0.345 0.345  0.28
Ni8 0.345 0.845 0.345  0.28
Ni9 0.000 0.000 0.500  0.30
Ni10 0.345 0.345 0.845  0.28
Ni11 0.000 0.500 0.000  0.30
Ni12 0.155 0.655 0.655  0.28
Ni13 0.655 0.155 0.655  0.28
Ni14 0.000 0.298 0.702  0.28
Ni15 0.000 0.702 0.298  0.28
Tb1 0.654 0.654 0.654  -0.07
Tb2 0.346 0.346 0.346  -0.07

=====

No. 6
Here is a geometry-optimized TbZn9Ni3 structure from the Alexandria database. Energies are from PBE.

Computed properties:
**SG**: C2/m (12)
**D(E_F)**: 6.5 states/eV/cell
**E_tot**: -0.2091 Ry per atom

a b c (Å): 5.013 6.626 6.711
angles (deg): 81.68 68.07 67.22
Atoms (fractional coordinates):
Zn1 0.282 0.217 0.226
Zn2 0.718 0.783 0.774
Zn3 0.507 0.217 0.774
Zn4 0.000 0.500 0.000
Zn5 0.642 0.339 0.351
Zn6 0.493 0.783 0.226
Zn7 0.993 0.339 0.649
Zn8 0.007 0.661 0.351
Zn9 0.358 0.661 0.649
Ni1 0.500 0.000 0.500
Ni2 0.000 0.000 0.500
Ni3 0.500 0.500 0.000
Tb1 0.000 0.000 0.000